Entry 1:
Compound: CsSc2Au2
Source: the Alexandria database
Functional: PBE-GGA
Structure: optimized geometry

Results
Magnetization ... 0.000 μB/cell
Energy of formation ... -0.25 eV per atom
Energy above the lowest structure with this stoichiometry ... 0.027 eV per atom
Space group ... P4/mbm, No. 127
Crystal system ... tetragonal

Cell and atoms, written as POSCAR:
```
CsSc2Au2
1.0
-5.202 -4.487 -5.140
6.803 -3.903 -3.478
-0.201 -2.391 2.291
Cs Sc Au
2 4 4
direct
0.000 0.000 0.000
0.500 0.500 0.000
0.366 0.866 0.000
0.866 0.634 0.000
0.634 0.134 0.000
0.134 0.366 0.000
0.149 0.649 0.500
0.649 0.851 0.500
0.851 0.351 0.500
0.351 0.149 0.500
```

Entry 2:
Compound: Y6SnGe2Se3
Source: the Alexandria database
Functional: PBE-GGA
Structure: optimized geometry

Results
Magnetization ... 0.000 μB/cell
Space group ... C2/m, No. 12
Energy relative to the elements, uncorrected ... -1350 meV/atom
Crystal system ... monoclinic

Cell and atoms, written as POSCAR:
```
Y6SnGe2Se3
1.0
-2.375 -3.331 -0.733
6.312 -5.035 2.421
-3.401 3.232 8.116
Y Sn Ge Se
6 1 2 3
direct
0.330 0.903 0.660
0.671 0.576 0.342
0.670 0.097 0.340
0.004 0.260 0.008
0.996 0.740 0.992
0.329 0.424 0.658
0.500 0.000 0.000
0.833 0.666 0.667
0.167 0.334 0.333
0.500 0.500 0.000
0.834 0.168 0.668
0.166 0.832 0.332
```

Entry 3:
Compound: PmMgCd
Source: the Alexandria database
Functional: PBE-GGA
Structure: optimized geometry

Results
Magnetization ... 0.000 μB/cell
Energy of formation ... -0.23 eV per atom
Energy above the lowest structure with this stoichiometry ... 0.038 eV per atom
Space group ... P2_1, No. 4
Crystal system ... monoclinic

Cell and atoms, written as POSCAR:
```
PmMgCd
1.0
-2.837 -0.562 1.783
-2.388 -1.634 -4.314
2.692 -8.324 1.664
Pm Mg Cd
2 2 2
direct
0.312 0.716 0.135
0.312 0.216 0.658
0.811 0.217 0.316
0.813 0.717 0.477
0.811 0.216 0.986
0.811 0.716 0.807
```

Entry 4:
Compound: In8Sn3
Source: the Alexandria database
Functional: PBE-GGA
Structure: optimized geometry

Results
Magnetization ... 0.000 μB/cell
Energy of formation ... 0.03 eV per atom
Space group ... C2/m, No. 12
Crystal system ... monoclinic

Cell and atoms, written as POSCAR:
```
In8Sn3
1.0
4.188 0.000 0.000
-2.094 5.691 -1.797
0.000 -1.642 13.202
In Sn
8 3
direct
0.727 0.455 0.089
0.273 0.545 0.911
0.545 0.089 0.819
0.455 0.911 0.181
0.818 0.635 0.726
0.182 0.365 0.274
0.636 0.272 0.454
0.364 0.728 0.546
0.000 0.000 0.000
0.911 0.823 0.362
0.089 0.177 0.638
```

> Look up the magnetization of the third one.

0.000 μB/cell

> Number 2 is which compound?

Y6SnGe2Se3